LaGaN: optimized geometry, PBE.

a b c (Å): 3.7615 4.0256 7.4466
angles (deg): 90.00 101.02 90.00
Atoms (fractional coordinates):
La  0.1863  0.2500  0.3248
La  0.8137  0.7500  0.6752
Ga  0.3717  0.2500  0.9179
Ga  0.6283  0.7500  0.0821
N  0.3216  0.2500  0.6523
N  0.6784  0.7500  0.3477

Computed properties:
raw formation energy = -952 meV per atom
VASP energy = -38.3 eV per cell